No. 1
! Cs2Mn2Ag | Alexandria via LeMat-Bulk | PBE | relaxed; values from VASP
! E_form (meV per atom): 947
! Calculated volume (Å³ per cell): 134.5
! Fermi-level density of states (states/eV per cell): 4.689
! Magnetic moment (μB per formula unit): 0.000
! VASP energy (eV per atom): -3.632
&SYSTEM
  ibrav = 0, nat = 5, ntyp = 3
/
ATOMIC_SPECIES
Cs 132.91 Cs.upf
Mn 54.94 Mn.upf
Ag 107.87 Ag.upf
ATOMIC_POSITIONS angstrom
Cs 1.646 1.646 2.902
Cs 3.292 3.292 9.515
Mn 3.292 1.646 6.209
Mn 1.646 3.292 6.209
Ag 0.000 0.000 0.000
CELL_PARAMETERS angstrom
3.292 0.000 0.000
0.000 3.292 0.000
1.646 1.646 12.417

***

No. 2
! Cs2ErCu2Se4 | Alexandria via LeMat-Bulk | PBE | relaxed; values from VASP
! Raw formation energy (meV/atom): -1056
! Calculated volume (Å³ per cell): 253.4
! Fermi-level density of states (states/eV per cell): 5.232
! Magnetic moment (μB per formula unit): 0.000
! VASP energy (eV per atom): -4.211
&SYSTEM
  ibrav = 0, nat = 9, ntyp = 4
/
ATOMIC_SPECIES
Cs 132.91 Cs.upf
Er 167.26 Er.upf
Cu 63.55 Cu.upf
Se 78.96 Se.upf
ATOMIC_POSITIONS angstrom
Cs 0.435 -5.140 3.211
Cs 3.386 -2.961 0.750
Er 0.000 0.000 0.000
Cu -2.591 -4.015 0.775
Cu 6.412 -4.087 3.187
Se 4.226 -5.289 3.371
Se -0.405 -2.813 0.590
Se -2.292 -6.438 1.305
Se 6.113 -1.664 2.656
CELL_PARAMETERS angstrom
-0.135 0.858 3.997
-4.192 -6.653 -0.806
8.148 -2.307 0.770